No. 1
A plane-wave DFT calculation with GGA-PBE was carried out for a relaxed Tm2TeO4 crystal.

- Crystal system: cubic

Unit cell a=6.8047 b=6.8047 c=6.8047 alpha=60.00 beta=60.00 gamma=60.00
Last column: nearest neighbours and their distance in Å.
Fractional positions:
Tm 0.0000 0.0000 0.0000  6 O 2.24
Tm 0.0000 0.0000 0.5000  6 O 2.24
Tm 0.0000 0.5000 0.0000  6 O 2.24
Tm 0.5000 0.0000 0.0000  6 O 2.24
Te 0.3750 0.3750 0.3750  4 O 2.40
Te 0.6250 0.6250 0.6250  4 O 2.40
O 0.1931 0.7690 0.7690  3 Tm 2.24, 1 Te 2.40
O 0.2310 0.2310 0.2310  3 Tm 2.24, 1 Te 2.40
O 0.2310 0.2310 0.8069  3 Tm 2.24, 1 Te 2.40
O 0.2310 0.8069 0.2310  3 Tm 2.24, 1 Te 2.40
O 0.7690 0.1931 0.7690  3 Tm 2.24, 1 Te 2.40
O 0.7690 0.7690 0.1931  3 Tm 2.24, 1 Te 2.40
O 0.7690 0.7690 0.7690  3 Tm 2.24, 1 Te 2.40
O 0.8069 0.2310 0.2310  3 Tm 2.24, 1 Te 2.40

***

No. 2
A plane-wave DFT calculation with GGA-PBE was carried out for a relaxed Tm2Te5O13 crystal.

- Crystal system: triclinic

Unit cell a=6.8390 b=8.5207 c=10.3832 alpha=88.79 beta=86.83 gamma=74.92
Last column: nearest neighbours and their distance in Å.
Fractional positions:
Tm 0.0008 0.2629 0.2618  6 O 2.16-2.30
Tm 0.4476 0.4688 0.3187  7 O 2.24-2.50
Tm 0.5524 0.5312 0.6813  7 O 2.24-2.50
Tm 0.9992 0.7371 0.7382  6 O 2.16-2.30
Te 0.1295 0.3457 0.6024  3 O 1.90-2.03
Te 0.1582 0.8029 0.1305  3 O 1.89-1.97
Te 0.2710 0.3957 0.9762  3 O 1.91-1.94
Te 0.2909 0.8841 0.4673  3 O 1.92-1.98
Te 0.4335 0.9106 0.8053  3 O 1.89-2.07
Te 0.5665 0.0894 0.1947  3 O 1.89-2.07
Te 0.7091 0.1159 0.5327  3 O 1.92-1.98
Te 0.7290 0.6043 0.0238  3 O 1.91-1.94
Te 0.8418 0.1971 0.8695  3 O 1.89-1.97
Te 0.8705 0.6543 0.3976  3 O 1.90-2.03
O 0.0384 0.3508 0.0628  1 Te 1.91
O 0.0552 0.8214 0.5341  1 Te 1.92
O 0.0622 0.0202 0.1853  1 Te 1.89
O 0.0681 0.2669 0.7825  2 Te 1.97-2.03
O 0.1260 0.4879 0.3959  1 Te 1.94
O 0.2371 0.4990 0.6854  1 Te 1.90
O 0.3120 0.7364 0.7914  1 Te 1.89
O 0.3287 0.2219 0.2772  1 Te 1.89
O 0.3355 0.7408 0.2693  1 Te 1.91
O 0.3380 0.5141 0.1139  1 Te 1.91
O 0.3449 0.9934 0.6228  2 Te 1.98-2.07
O 0.4602 0.1879 0.0113  2 Te 1.94-2.15
O 0.4712 0.6742 0.4977  1 Te 1.92
O 0.5288 0.3258 0.5023  1 Te 1.92
O 0.5398 0.8121 0.9887  2 Te 1.94-2.15
O 0.6551 0.0066 0.3772  2 Te 1.98-2.07
O 0.6620 0.4859 0.8861  1 Te 1.91
O 0.6645 0.2592 0.7307  1 Te 1.91
O 0.6713 0.7781 0.7228  1 Te 1.89
O 0.6880 0.2636 0.2086  1 Te 1.89
O 0.7629 0.5010 0.3146  1 Te 1.90
O 0.8740 0.5121 0.6041  1 Te 1.94
O 0.9319 0.7331 0.2175  2 Te 1.97-2.03
O 0.9378 0.9798 0.8147  1 Te 1.89
O 0.9448 0.1786 0.4659  1 Te 1.92
O 0.9616 0.6492 0.9372  1 Te 1.91

***

No. 3
A plane-wave DFT calculation with GGA-PBE was carried out for a relaxed ZnTe6O13 crystal.

- Crystal system: trigonal

Unit cell a=8.5700 b=8.5700 c=8.5700 alpha=72.01 beta=72.01 gamma=72.01
Last column: nearest neighbours and their distance in Å.
Fractional positions:
Zn 0.2444 0.2444 0.2444  6 O 2.08-2.14
Zn 0.7556 0.7556 0.7556  6 O 2.08-2.14
Te 0.0256 0.3297 0.9152  3 O 1.90-2.05
Te 0.0848 0.9744 0.6703  3 O 1.90-2.05
Te 0.1666 0.5699 0.4832  2 O 1.89-1.98
Te 0.3297 0.9152 0.0256  3 O 1.90-2.05
Te 0.4301 0.5168 0.8334  2 O 1.89-1.98
Te 0.4832 0.1666 0.5699  2 O 1.89-1.98
Te 0.5168 0.8334 0.4301  2 O 1.89-1.98
Te 0.5699 0.4832 0.1666  2 O 1.89-1.98
Te 0.6703 0.0848 0.9744  3 O 1.90-2.05
Te 0.8334 0.4301 0.5168  2 O 1.89-1.98
Te 0.9152 0.0256 0.3297  3 O 1.90-2.05
Te 0.9744 0.6703 0.0848  3 O 1.90-2.05
O 0.0428 0.1362 0.3882  1 Te 1.90, 1 Zn 2.08
O 0.1053 0.3947 0.4243  2 Te 1.98-2.17, 1 Zn 2.14
O 0.1181 0.7965 0.8738  2 Te 1.96-2.05
O 0.1262 0.8819 0.2035  2 Te 1.96-2.05
O 0.1362 0.3882 0.0428  1 Te 1.90, 1 Zn 2.08
O 0.1973 0.4574 0.7032  1 Te 1.89
O 0.2035 0.1262 0.8819  2 Te 1.96-2.05
O 0.2968 0.8027 0.5426  1 Te 1.89
O 0.3882 0.0428 0.1362  1 Te 1.90, 1 Zn 2.08
O 0.3947 0.4243 0.1053  2 Te 1.98-2.17, 1 Zn 2.14
O 0.4163 0.4163 0.4163  3 Te 2.15
O 0.4243 0.1053 0.3947  2 Te 1.98-2.17, 1 Zn 2.14
O 0.4574 0.7032 0.1973  1 Te 1.89
O 0.5426 0.2968 0.8027  1 Te 1.89
O 0.5757 0.8947 0.6053  2 Te 1.98-2.17, 1 Zn 2.14
O 0.5837 0.5837 0.5837  3 Te 2.15
O 0.6053 0.5757 0.8947  2 Te 1.98-2.17, 1 Zn 2.14
O 0.6118 0.9572 0.8638  1 Te 1.90, 1 Zn 2.08
O 0.7032 0.1973 0.4574  1 Te 1.89
O 0.7965 0.8738 0.1181  2 Te 1.96-2.05
O 0.8027 0.5426 0.2968  1 Te 1.89
O 0.8638 0.6118 0.9572  1 Te 1.90, 1 Zn 2.08
O 0.8738 0.1181 0.7965  2 Te 1.96-2.05
O 0.8819 0.2035 0.1262  2 Te 1.96-2.05
O 0.8947 0.6053 0.5757  2 Te 1.98-2.17, 1 Zn 2.14
O 0.9572 0.8638 0.6118  1 Te 1.90, 1 Zn 2.08

***

No. 4
A plane-wave DFT calculation with GGA-PBE was carried out for a relaxed Zn2Te3O8 crystal.

- Crystal system: monoclinic

Unit cell a=6.7844 b=6.7844 c=11.7078 alpha=98.79 beta=98.79 gamma=45.01
Last column: nearest neighbours and their distance in Å.
Fractional positions:
Zn 0.0201 0.4392 0.3454  5 O 2.01-2.14
Zn 0.4392 0.0201 0.8454  5 O 2.01-2.14
Zn 0.5608 0.9799 0.1546  5 O 2.01-2.14
Zn 0.9799 0.5608 0.6546  5 O 2.01-2.14
Te 0.0668 0.6672 0.9498  3 O 1.91-1.99
Te 0.1551 0.8449 0.2500  4 O 1.91-2.10
Te 0.3328 0.9332 0.5502  3 O 1.91-1.99
Te 0.6672 0.0668 0.4498  3 O 1.91-1.99
Te 0.8449 0.1551 0.7500  4 O 1.91-2.10
Te 0.9332 0.3328 0.0502  3 O 1.91-1.99
O 0.0062 0.1565 0.3575  1 Te 1.91, 1 Zn 2.01
O 0.0094 0.7660 0.3636  2 Te 1.99-2.10, 1 Zn 2.14
O 0.1565 0.0062 0.8575  1 Te 1.91, 1 Zn 2.01
O 0.1888 0.4288 0.8113  1 Te 1.91, 2 Zn 2.02-2.05
O 0.2340 0.9906 0.1364  2 Te 1.99-2.10, 1 Zn 2.14
O 0.2491 0.2848 0.0358  1 Te 1.96, 1 Zn 2.12
O 0.2848 0.2491 0.5358  1 Te 1.96, 1 Zn 2.12
O 0.4288 0.1888 0.3113  1 Te 1.91, 2 Zn 2.02-2.05
O 0.5712 0.8112 0.6887  1 Te 1.91, 2 Zn 2.02-2.05
O 0.7152 0.7509 0.4642  1 Te 1.96, 1 Zn 2.12
O 0.7509 0.7152 0.9642  1 Te 1.96, 1 Zn 2.12
O 0.7660 0.0094 0.8636  2 Te 1.99-2.10, 1 Zn 2.14
O 0.8112 0.5712 0.1887  1 Te 1.91, 2 Zn 2.02-2.05
O 0.8435 0.9938 0.1425  1 Te 1.91, 1 Zn 2.01
O 0.9906 0.2340 0.6364  2 Te 1.99-2.10, 1 Zn 2.14
O 0.9938 0.8435 0.6425  1 Te 1.91, 1 Zn 2.01

***

No. 5
A plane-wave DFT calculation with GGA-PBE was carried out for a relaxed Zn4TeO7 crystal.

- Crystal system: cubic

Unit cell a=6.0685 b=6.0685 c=6.0685 alpha=60.00 beta=60.00 gamma=60.00
Last column: nearest neighbours and their distance in Å.
Fractional positions:
Zn 0.1235 0.1235 0.1235  4 O 1.88-1.96
Zn 0.1235 0.1235 0.6294  4 O 1.88-1.96
Zn 0.1235 0.6294 0.1235  4 O 1.88-1.96
Zn 0.6294 0.1235 0.1235  4 O 1.88-1.96
Te 0.5000 0.5000 0.5000  6 O 1.97
O 0.2500 0.2500 0.2500  4 Zn 1.88
O 0.2707 0.2707 0.7293  2 Zn 1.96, 1 Te 1.97
O 0.2707 0.7293 0.2707  2 Zn 1.96, 1 Te 1.97
O 0.2707 0.7293 0.7293  2 Zn 1.96, 1 Te 1.97
O 0.7293 0.2707 0.2707  2 Zn 1.96, 1 Te 1.97
O 0.7293 0.2707 0.7293  2 Zn 1.96, 1 Te 1.97
O 0.7293 0.7293 0.2707  2 Zn 1.96, 1 Te 1.97

***

No. 6
A plane-wave DFT calculation with GGA-PBE was carried out for a relaxed Zn2TeO4 crystal.

- Crystal system: cubic

Unit cell a=6.2561 b=6.2561 c=6.2561 alpha=60.00 beta=60.00 gamma=60.00
Last column: nearest neighbours and their distance in Å.
Fractional positions:
Zn 0.0000 0.0000 0.0000  6 O 2.13
Zn 0.0000 0.0000 0.5000  6 O 2.13
Zn 0.0000 0.5000 0.0000  6 O 2.13
Zn 0.5000 0.0000 0.0000  6 O 2.13
Te 0.3750 0.3750 0.3750  4 O 2.07
Te 0.6250 0.6250 0.6250  4 O 2.07
O 0.2204 0.7599 0.7599  1 Te 2.07, 3 Zn 2.13
O 0.2401 0.2401 0.2401  1 Te 2.07, 3 Zn 2.13
O 0.2401 0.2401 0.7796  1 Te 2.07, 3 Zn 2.13
O 0.2401 0.7796 0.2401  1 Te 2.07, 3 Zn 2.13
O 0.7599 0.2204 0.7599  1 Te 2.07, 3 Zn 2.13
O 0.7599 0.7599 0.2204  1 Te 2.07, 3 Zn 2.13
O 0.7599 0.7599 0.7599  1 Te 2.07, 3 Zn 2.13
O 0.7796 0.2401 0.2401  1 Te 2.07, 3 Zn 2.13

***

No. 7
A plane-wave DFT calculation with GGA-PBE was carried out for a relaxed Zn3TeO6 crystal.

- Crystal system: monoclinic
- Distance to the lowest polymorph of the same formula: 0 meV per atom

Unit cell a=8.6745 b=8.6745 c=10.3548 alpha=92.63 beta=92.63 gamma=61.60
Last column: nearest neighbours and their distance in Å.
Fractional positions:
Zn 0.0000 0.2776 0.7553  4 O 1.94-2.10
Zn 0.0000 0.7224 0.2447  4 O 1.94-2.10
Zn 0.0655 0.3421 0.4268  4 O 1.89-1.99
Zn 0.1061 0.5700 0.9434  4 O 1.95-2.09
Zn 0.1987 0.8013 0.7500  6 O 2.03-2.21
Zn 0.2776 0.0000 0.2553  4 O 1.94-2.10
Zn 0.3239 0.6280 0.4487  4 O 1.93-2.16
Zn 0.3421 0.0655 0.9268  4 O 1.89-1.99
Zn 0.3720 0.6761 0.0513  4 O 1.93-2.16
Zn 0.4300 0.8939 0.5566  4 O 1.95-2.09
Zn 0.5700 0.1061 0.4434  4 O 1.95-2.09
Zn 0.6280 0.3239 0.9487  4 O 1.93-2.16
Zn 0.6579 0.9345 0.0732  4 O 1.89-1.99
Zn 0.6761 0.3720 0.5513  4 O 1.93-2.16
Zn 0.7224 0.0000 0.7447  4 O 1.94-2.10
Zn 0.8013 0.1987 0.2500  6 O 2.03-2.21
Zn 0.8939 0.4300 0.0566  4 O 1.95-2.09
Zn 0.9345 0.6579 0.5732  4 O 1.89-1.99
Te 0.0000 0.0000 0.0000  6 O 1.93-1.96
Te 0.0000 0.0000 0.5000  6 O 1.93-1.96
Te 0.3337 0.3386 0.6969  6 O 1.93-1.97
Te 0.3386 0.3337 0.1969  6 O 1.93-1.97
Te 0.6614 0.6663 0.8031  6 O 1.93-1.97
Te 0.6663 0.6614 0.3031  6 O 1.93-1.97
O 0.0493 0.0960 0.1583  1 Te 1.93, 2 Zn 1.99-2.15
O 0.0910 0.7620 0.5615  1 Te 1.95, 2 Zn 1.97-2.16
O 0.0909 0.7675 0.0737  1 Te 1.96, 2 Zn 2.09-2.10
O 0.0960 0.0493 0.6583  1 Te 1.93, 2 Zn 1.99-2.15
O 0.1078 0.4124 0.6052  1 Te 1.96, 2 Zn 1.97-1.99
O 0.1189 0.4289 0.0991  1 Te 1.93, 2 Zn 1.98-2.04
O 0.2214 0.2670 0.8255  2 Zn 1.89-1.98, 1 Te 1.97
O 0.2325 0.9091 0.4263  1 Te 1.96, 2 Zn 2.09-2.10
O 0.2347 0.5500 0.2996  2 Zn 1.93-1.94, 1 Te 1.94
O 0.2380 0.9090 0.9385  1 Te 1.95, 2 Zn 1.97-2.16
O 0.2454 0.5581 0.7969  1 Te 1.95, 2 Zn 1.95-2.03
O 0.2670 0.2214 0.3255  2 Zn 1.89-1.98, 1 Te 1.97
O 0.4124 0.1078 0.1052  1 Te 1.96, 2 Zn 1.97-1.99
O 0.4234 0.4265 0.0682  1 Te 1.93, 2 Zn 2.01-2.02
O 0.4265 0.4234 0.5682  1 Te 1.93, 2 Zn 2.01-2.02
O 0.4289 0.1189 0.5991  1 Te 1.93, 2 Zn 1.98-2.04
O 0.4419 0.7546 0.7031  1 Te 1.95, 2 Zn 1.95-2.03
O 0.4500 0.7653 0.2004  2 Zn 1.93-1.94, 1 Te 1.94
O 0.5500 0.2347 0.7996  2 Zn 1.93-1.94, 1 Te 1.94
O 0.5581 0.2454 0.2969  1 Te 1.95, 2 Zn 1.95-2.03
O 0.5711 0.8811 0.4009  1 Te 1.93, 2 Zn 1.98-2.04
O 0.5735 0.5766 0.4318  1 Te 1.93, 2 Zn 2.01-2.02
O 0.5766 0.5735 0.9318  1 Te 1.93, 2 Zn 2.01-2.02
O 0.5876 0.8922 0.8948  1 Te 1.96, 2 Zn 1.97-1.99
O 0.7330 0.7786 0.6745  2 Zn 1.89-1.98, 1 Te 1.97
O 0.7546 0.4419 0.2031  1 Te 1.95, 2 Zn 1.95-2.03
O 0.7620 0.0910 0.0615  1 Te 1.95, 2 Zn 1.97-2.16
O 0.7653 0.4500 0.7004  2 Zn 1.93-1.94, 1 Te 1.94
O 0.7675 0.0909 0.5737  1 Te 1.96, 2 Zn 2.09-2.10
O 0.7786 0.7330 0.1745  2 Zn 1.89-1.98, 1 Te 1.97
O 0.8811 0.5711 0.9009  1 Te 1.93, 2 Zn 1.98-2.04
O 0.8922 0.5876 0.3948  1 Te 1.96, 2 Zn 1.97-1.99
O 0.9040 0.9507 0.3417  1 Te 1.93, 2 Zn 1.99-2.15
O 0.9091 0.2325 0.9263  1 Te 1.96, 2 Zn 2.09-2.10
O 0.9090 0.2380 0.4385  1 Te 1.95, 2 Zn 1.97-2.16
O 0.9507 0.9040 0.8417  1 Te 1.93, 2 Zn 1.99-2.15

***

No. 8
A plane-wave DFT calculation with GGA-PBE was carried out for a relaxed Zn3TeO6 crystal.

- Crystal system: trigonal
- Distance to the lowest polymorph of the same formula: 33 meV per atom

Unit cell a=5.4823 b=5.4823 c=5.4823 alpha=56.64 beta=56.64 gamma=56.64
Last column: nearest neighbours and their distance in Å.
Fractional positions:
Zn 0.0000 0.0000 0.0000  6 O 2.02-2.22
Zn 0.2203 0.2203 0.2203  3 O 2.00
Zn 0.7292 0.7292 0.7292  3 O 2.01
Te 0.5138 0.5138 0.5138  6 O 1.94-1.97
O 0.1405 0.7775 0.4078  1 Te 1.94, 1 Zn 2.01
O 0.3083 0.6110 0.8933  1 Te 1.97, 2 Zn 2.00-2.02
O 0.4078 0.1405 0.7775  1 Te 1.94, 1 Zn 2.01
O 0.6110 0.8933 0.3083  1 Te 1.97, 2 Zn 2.00-2.02
O 0.7775 0.4078 0.1405  1 Te 1.94, 1 Zn 2.01
O 0.8933 0.3083 0.6110  1 Te 1.97, 2 Zn 2.00-2.02

***

No. 9
A plane-wave DFT calculation with GGA-PBE was carried out for a relaxed YTlZnO3 crystal.

- Crystal system: orthorhombic

Unit cell a=6.3241 b=6.3241 c=9.0409 alpha=90.00 beta=90.00 gamma=147.60
Last column: nearest neighbours and their distance in Å.
Fractional positions:
Y 0.0000 0.0000 0.0000  6 O 2.28-2.29
Y 0.0000 0.0000 0.5000  6 O 2.28-2.29
Tl 0.2997 0.7003 0.7500  4 O 2.75-2.86
Tl 0.7003 0.2997 0.2500  4 O 2.75-2.86
Zn 0.4118 0.5882 0.2500  2 O 1.89
Zn 0.5882 0.4118 0.7500  2 O 1.89
O 0.0268 0.9732 0.2500  2 Zn 2.25, 2 Y 2.28
O 0.3847 0.6153 0.0446  1 Zn 1.89
O 0.3847 0.6153 0.4554  1 Zn 1.89
O 0.6153 0.3847 0.5446  1 Zn 1.89
O 0.6153 0.3847 0.9554  1 Zn 1.89
O 0.9732 0.0268 0.7500  2 Zn 2.25, 2 Y 2.28

***

No. 10
A plane-wave DFT calculation with GGA-PBE was carried out for a relaxed Tl2ZnO2 crystal.

- Crystal system: orthorhombic

Unit cell a=6.6064 b=6.6064 c=6.6064 alpha=123.86 beta=78.89 gamma=129.46
Last column: nearest neighbours and their distance in Å.
Fractional positions:
Tl 0.1559 0.1202 0.2761  1 O 2.47
Tl 0.3441 0.6202 0.9644  1 O 2.47
Tl 0.6559 0.3798 0.0356  1 O 2.47
Tl 0.8441 0.8798 0.7239  1 O 2.47
Zn 0.2500 0.7500 0.5000  4 O 2.02
Zn 0.7500 0.2500 0.5000  4 O 2.02
O 0.1029 0.6599 0.7628  2 Zn 2.02
O 0.3971 0.1599 0.5570  2 Zn 2.02
O 0.6029 0.8401 0.4430  2 Zn 2.02
O 0.8971 0.3401 0.2372  2 Zn 2.02

***

No. 11
A plane-wave DFT calculation with GGA-PBE was carried out for a relaxed Zr3TlO crystal.

- Crystal system: orthorhombic

Unit cell a=6.1488 b=6.1488 c=9.3278 alpha=90.00 beta=90.00 gamma=147.91
Last column: nearest neighbours and their distance in Å.
Fractional positions:
Zr 0.0319 0.9681 0.7500  2 O 2.36
Zr 0.3755 0.6245 0.5310  2 O 2.27
Zr 0.3755 0.6245 0.9690  2 O 2.27
Zr 0.6245 0.3755 0.0310  2 O 2.27
Zr 0.6245 0.3755 0.4690  2 O 2.27
Zr 0.9681 0.0319 0.2500  2 O 2.36
Tl 0.2504 0.7496 0.2500  9 Zr 3.01-3.34
Tl 0.7496 0.2504 0.7500  9 Zr 3.01-3.34
O 0.0000 0.0000 0.0000  6 Zr 2.27-2.36
O 0.0000 0.0000 0.5000  6 Zr 2.27-2.36

***

No. 12
A plane-wave DFT calculation with GGA-PBE was carried out for a relaxed ZrTl2O3 crystal.

- Crystal system: monoclinic

Unit cell a=6.6791 b=6.6791 c=5.8921 alpha=97.61 beta=97.61 gamma=115.13
Last column: nearest neighbours and their distance in Å.
Fractional positions:
Zr 0.0565 0.9435 0.5000  5 O 1.99-2.16
Zr 0.9435 0.0565 0.0000  5 O 1.99-2.16
Tl 0.2039 0.6846 0.9418  1 O 2.46
Tl 0.4302 0.5838 0.4340  1 O 2.43
Tl 0.5838 0.4302 0.9340  1 O 2.43
Tl 0.6846 0.2039 0.4418  1 O 2.46
O 0.1009 0.2144 0.7304  2 Zr 2.00-2.16
O 0.2144 0.1009 0.2304  2 Zr 2.00-2.16
O 0.2904 0.8419 0.5923  1 Zr 1.99
O 0.7737 0.8494 0.2300  2 Zr 2.10-2.15
O 0.8419 0.2904 0.0923  1 Zr 1.99
O 0.8494 0.7737 0.7300  2 Zr 2.10-2.15

***

Ordered final energy results: -97.2; -247.8; -210.9; -133.5; -57.2; -66.0; -296.2; -49.0; -73.1; -39.1; -76.8; -78.4; unit eV per cell.